Density functional theory data (PBE) for crystalline GdZrMnRh at its relaxed geometry.

The calculation puts the energy of formation at -0.236 eV per atom. The final energy is -10.023 eV per atom.

It has space group F-43m (No. 216), with a = 6.7419 Å, b = 6.7419 Å, c = 6.7419 Å, α = 90.00°, β = 90.00° and γ = 90.00°. Symmetry generates all atoms from Gd at (0.0000, 0.0000, 0.0000), Zr at (0.0000, 0.0000, 0.5000), Mn at (0.2500, 0.2500, 0.7500) and Rh at (0.2500, 0.2500, 0.2500).

Density functional theory data (PBE) for crystalline GdScMnRu at its relaxed geometry.

The calculation puts the energy of formation at -0.112 eV per atom. The final energy is -9.826 eV per atom.

It has space group F-43m (No. 216), with a = 6.7506 Å, b = 6.7506 Å, c = 6.7506 Å, α = 90.00°, β = 90.00° and γ = 90.00°. Symmetry generates all atoms from Gd at (0.0000, 0.0000, 0.0000), Sc at (0.0000, 0.0000, 0.5000), Mn at (0.2500, 0.2500, 0.2500) and Ru at (0.2500, 0.2500, 0.7500).

Density functional theory data (PBE) for crystalline SmGdMnRu at its relaxed geometry.

The calculation puts the energy of formation at 0.028 eV per atom. The final energy is -9.284 eV per atom.

It has space group F-43m (No. 216), with a = 7.0361 Å, b = 7.0361 Å, c = 7.0361 Å, α = 90.00°, β = 90.00° and γ = 90.00°. Symmetry generates all atoms from Sm at (0.0000, 0.0000, 0.0000), Gd at (0.0000, 0.0000, 0.5000), Mn at (0.2500, 0.2500, 0.2500) and Ru at (0.2500, 0.2500, 0.7500).

Density functional theory data (PBE) for crystalline GdThMnRu at its relaxed geometry.

The calculation puts the energy of formation at -0.031 eV per atom. The final energy is -10.018 eV per atom.

It has space group F-43m (No. 216), with a = 7.0256 Å, b = 7.0256 Å, c = 7.0256 Å, α = 90.00°, β = 90.00° and γ = 90.00°. Symmetry generates all atoms from Gd at (0.0000, 0.0000, 0.0000), Th at (0.0000, 0.0000, 0.5000), Mn at (0.2500, 0.2500, 0.7500) and Ru at (0.2500, 0.2500, 0.2500).

Density functional theory data (PBE) for crystalline Gd2MnS4 at its relaxed geometry.

The final energy is -9.300 eV per atom. The calculation puts the raw formation energy at -1608 meV/atom.

It has space group I-42d (No. 122), with a = 9.2277 Å, b = 9.2277 Å, c = 8.2655 Å, α = 90.00°, β = 90.00° and γ = 90.00°. Symmetry generates all atoms from Gd at (0.2333, 0.2500, 0.1250), Mn at (0.0000, 0.0000, 0.5000) and S at (0.0489, 0.2367, 0.3852).

Density functional theory data (PBE) for crystalline GdScMn at its relaxed geometry.

The calculation puts the energy of formation at 0.119 eV per atom. The final energy is -9.742 eV per atom.

It has space group I4mm (No. 107), with a = 3.2542 Å, b = 3.2542 Å, c = 12.8058 Å, α = 90.00°, β = 90.00° and γ = 90.00°. Symmetry generates all atoms from Gd at (0.0000, 0.0000, 0.0000), Sc at (0.0000, 0.0000, 0.2661) and Mn at (0.0000, 0.0000, 0.6438).

Density functional theory data (PBE) for crystalline GdScMn4 at its relaxed geometry.

The calculation puts the energy of formation at 0.066 eV per atom. The final energy is -9.449 eV per atom.

It has space group F-43m (No. 216), with a = 7.1011 Å, b = 7.1011 Å, c = 7.1011 Å, α = 90.00°, β = 90.00° and γ = 90.00°. Symmetry generates all atoms from Gd at (0.0000, 0.0000, 0.0000), Sc at (0.2500, 0.2500, 0.7500) and Mn at (0.1244, 0.1244, 0.3756).

Density functional theory data (PBE) for crystalline GdSc2Mn at its relaxed geometry.

The value obtained for the energy relative to the lowest polymorph listed for this composition is 0 meV/atom. The calculation puts the energy of formation at 0.077 eV per atom. The final energy is -8.901 eV per atom.

It has space group P4/mmm (No. 123), with a = 3.2138 Å, b = 3.2138 Å, c = 8.6457 Å, α = 90.00°, β = 90.00° and γ = 90.00°. Symmetry generates all atoms from Gd at (0.0000, 0.0000, 0.0000), Sc at (0.5000, 0.5000, 0.3175) and Mn at (0.0000, 0.0000, 0.5000).